# PBEsol LaYF2, optimized geometry
data_LaYF2
_space_group_name_H-M_alt 'R -3 m'
_space_group_IT_number 166
_space_group_name_Hall '-R 3 2"'
_cell_length_a 3.4986
_cell_length_b 3.4986
_cell_length_c 23.3706
_cell_angle_alpha 90.00
_cell_angle_beta 90.00
_cell_angle_gamma 120.00
loop_
_atom_site_label
_atom_site_type_symbol
_atom_site_fract_x
_atom_site_fract_y
_atom_site_fract_z
_atom_site_occupancy
La1 La 0.0000 0.0000 0.0000 1
Y1 Y 0.0000 0.0000 0.5000 1
F1 F 0.0000 0.0000 0.4069 1
# Crystal system: trigonal
# Formation energy from raw total energies (eV/atom): -2.41
# Polymorph energy (0 for the lowest one) (meV/atom): 0.0
# N(E_F) (states/eV per atom): 0.5092

# PBEsol Sc2TlAuI, optimized geometry
data_Sc2TlAuI
_space_group_name_H-M_alt 'P 4/m m m'
_space_group_IT_number 123
_space_group_name_Hall '-P 4 2'
_cell_length_a 5.2883
_cell_length_b 5.2883
_cell_length_c 5.1752
_cell_angle_alpha 90.00
_cell_angle_beta 90.00
_cell_angle_gamma 90.00
loop_
_atom_site_label
_atom_site_type_symbol
_atom_site_fract_x
_atom_site_fract_y
_atom_site_fract_z
_atom_site_occupancy
Sc1 Sc 0.0000 0.5000 0.0000 1
Tl1 Tl 0.0000 0.0000 0.5000 1
Au1 Au 0.0000 0.0000 0.0000 1
I1 I 0.5000 0.5000 0.5000 1
# Crystal system: tetragonal
# Formation energy from raw total energies (eV/atom): 0.00
# N(E_F) (states/eV per atom): 0.9344

# PBEsol SrTl2Sb, optimized geometry
data_SrTl2Sb
_space_group_name_H-M_alt 'I m m 2'
_space_group_IT_number 44
_cell_length_a 4.8617
_cell_length_b 4.8731
_cell_length_c 9.8553
_cell_angle_alpha 90.00
_cell_angle_beta 90.00
_cell_angle_gamma 90.00
loop_
_space_group_symop_operation_xyz
'x,y,z'
'-x,-y,z'
'-x,y,z'
'x,-y,z'
'x+1/2,y+1/2,z+1/2'
'-x+1/2,-y+1/2,z+1/2'
'-x+1/2,y+1/2,z+1/2'
'x+1/2,-y+1/2,z+1/2'
loop_
_atom_site_label
_atom_site_type_symbol
_atom_site_fract_x
_atom_site_fract_y
_atom_site_fract_z
_atom_site_occupancy
Sr1 Sr 0.0000 0.0000 0.0000 1
Tl1 Tl 0.0000 0.0000 0.5019 1
Tl2 Tl 0.0000 0.5000 0.7509 1
Sb1 Sb 0.0000 0.5000 0.2500 1
# Crystal system: orthorhombic
# Formation energy from raw total energies (eV/atom): -0.41
# Polymorph energy (0 for the lowest one) (meV/atom): 57.1
# N(E_F) (states/eV per atom): 0.5486

# PBEsol KBaIn2, optimized geometry
data_KBaIn2
_space_group_name_H-M_alt 'F m -3 m'
_space_group_IT_number 225
_space_group_name_Hall '-F 4 2 3'
_cell_length_a 8.2523
_cell_length_b 8.2523
_cell_length_c 8.2523
_cell_angle_alpha 90.00
_cell_angle_beta 90.00
_cell_angle_gamma 90.00
loop_
_atom_site_label
_atom_site_type_symbol
_atom_site_fract_x
_atom_site_fract_y
_atom_site_fract_z
_atom_site_occupancy
K1 K 0.0000 0.0000 0.0000 1
Ba1 Ba 0.0000 0.0000 0.5000 1
In1 In 0.2500 0.2500 0.2500 1
# Formation enthalpy at 0 K (meV per atom): -166
# Crystal system: cubic
# N(E_F) (states/eV per atom): 0.7921

# PBEsol Nd3Ni3Bi4, optimized geometry
data_Nd3Ni3Bi4
_space_group_name_H-M_alt 'I -4 3 d'
_space_group_IT_number 220
_space_group_name_Hall 'I -4bd 2c 3'
_cell_length_a 9.7086
_cell_length_b 9.7086
_cell_length_c 9.7086
_cell_angle_alpha 90.00
_cell_angle_beta 90.00
_cell_angle_gamma 90.00
loop_
_atom_site_label
_atom_site_type_symbol
_atom_site_fract_x
_atom_site_fract_y
_atom_site_fract_z
_atom_site_occupancy
Nd1 Nd 0.0000 0.2500 0.3750 1
Ni1 Ni 0.0000 0.2500 0.8750 1
Bi1 Bi 0.0772 0.0772 0.0772 1
# Formation enthalpy at 0 K (meV per atom): -629
# Crystal system: cubic
# N(E_F) (states/eV per atom): 0.8792

# PBEsol TaInRu2, optimized geometry
data_TaInRu2
_space_group_name_H-M_alt 'P 4/m m m'
_space_group_IT_number 123
_space_group_name_Hall '-P 4 2'
_cell_length_a 4.4007
_cell_length_b 4.4007
_cell_length_c 3.2244
_cell_angle_alpha 90.00
_cell_angle_beta 90.00
_cell_angle_gamma 90.00
loop_
_atom_site_label
_atom_site_type_symbol
_atom_site_fract_x
_atom_site_fract_y
_atom_site_fract_z
_atom_site_occupancy
Ta1 Ta 0.0000 0.0000 0.0000 1
In1 In 0.5000 0.5000 0.0000 1
Ru1 Ru 0.0000 0.5000 0.5000 1
# Formation enthalpy at 0 K (meV per atom): -242
# Crystal system: tetragonal
# N(E_F) (states/eV per atom): 0.1253

# PBEsol InTe, optimized geometry
data_InTe
_space_group_name_H-M_alt 'I 4/m c m'
_space_group_IT_number 140
_space_group_name_Hall '-I 4 2c'
_cell_length_a 8.2485
_cell_length_b 8.2485
_cell_length_c 7.0821
_cell_angle_alpha 90.00
_cell_angle_beta 90.00
_cell_angle_gamma 90.00
loop_
_atom_site_label
_atom_site_type_symbol
_atom_site_fract_x
_atom_site_fract_y
_atom_site_fract_z
_atom_site_occupancy
In1 In 0.0000 0.0000 0.2500 1
In2 In 0.0000 0.5000 0.2500 1
Te1 Te 0.1898 0.3102 0.0000 1
# Crystal system: tetragonal
# Formation energy from raw total energies (eV/atom): -0.25
# N(E_F) (states/eV per atom): 0.0994

# PBEsol Hg3OsW, optimized geometry
data_Hg3OsW
_space_group_name_H-M_alt 'P m -3 m'
_space_group_IT_number 221
_space_group_name_Hall '-P 4 2 3'
_cell_length_a 5.1209
_cell_length_b 5.1209
_cell_length_c 5.1209
_cell_angle_alpha 90.00
_cell_angle_beta 90.00
_cell_angle_gamma 90.00
loop_
_atom_site_label
_atom_site_type_symbol
_atom_site_fract_x
_atom_site_fract_y
_atom_site_fract_z
_atom_site_occupancy
Hg1 Hg 0.0000 0.0000 0.5000 1
Os1 Os 0.5000 0.5000 0.5000 1
W1 W 0.0000 0.0000 0.0000 1
# Formation enthalpy at 0 K (meV per atom): 2411
# Crystal system: cubic
# N(E_F) (states/eV per atom): 1.2322

# PBEsol SmB4Ru4, optimized geometry
data_SmB4Ru4
_space_group_name_H-M_alt 'I 41/a c d'
_space_group_IT_number 142
_cell_length_a 7.4416
_cell_length_b 7.4416
_cell_length_c 14.9473
_cell_angle_alpha 90.00
_cell_angle_beta 90.00
_cell_angle_gamma 90.00
loop_
_space_group_symop_operation_xyz
'x,y,z'
'-x,-y,-z'
'-y+1/4,x+3/4,z+1/4'
'y+1/4,-x+3/4,-z+1/4'
'-x+1/2,-y,z+1/2'
'x+1/2,y,-z+1/2'
'y+1/4,-x+1/4,z+3/4'
'-y+1/4,x+1/4,-z+3/4'
'x,-y,-z+1/2'
'-x,y,z+1/2'
'-y+1/4,-x+1/4,-z+1/4'
'y+1/4,x+1/4,z+1/4'
'-x+1/2,y,-z'
'x+1/2,-y,z'
'y+1/4,x+3/4,-z+3/4'
'-y+1/4,-x+3/4,z+3/4'
'x+1/2,y+1/2,z+1/2'
'-x+1/2,-y+1/2,-z+1/2'
'-y+3/4,x+1/4,z+3/4'
'y+3/4,-x+1/4,-z+3/4'
'-x,-y+1/2,z'
'x,y+1/2,-z'
'y+3/4,-x+3/4,z+1/4'
'-y+3/4,x+3/4,-z+1/4'
'x+1/2,-y+1/2,-z'
'-x+1/2,y+1/2,z'
'-y+3/4,-x+3/4,-z+3/4'
'y+3/4,x+3/4,z+3/4'
'-x,y+1/2,-z+1/2'
'x,-y+1/2,z+1/2'
'y+3/4,x+1/4,-z+1/4'
'-y+3/4,-x+1/4,z+1/4'
loop_
_atom_site_label
_atom_site_type_symbol
_atom_site_fract_x
_atom_site_fract_y
_atom_site_fract_z
_atom_site_occupancy
Sm1 Sm 0.0000 0.2500 0.1250 1
B1 B 0.1432 0.0829 0.2935 1
Ru1 Ru 0.1161 0.1042 0.4367 1
# Formation enthalpy at 0 K (meV per atom): -499
# Crystal system: tetragonal
# N(E_F) (states/eV per atom): 0.8072

# PBEsol Ca2Cu, optimized geometry
data_Ca2Cu
_space_group_name_H-M_alt 'P n m a'
_space_group_IT_number 62
_cell_length_a 7.7508
_cell_length_b 4.5142
_cell_length_c 9.2389
_cell_angle_alpha 90.00
_cell_angle_beta 90.00
_cell_angle_gamma 90.00
loop_
_space_group_symop_operation_xyz
'x,y,z'
'-x,-y,-z'
'-x+1/2,-y,z+1/2'
'x+1/2,y,-z+1/2'
'x+1/2,-y+1/2,-z+1/2'
'-x+1/2,y+1/2,z+1/2'
'-x,y+1/2,-z'
'x,-y+1/2,z'
loop_
_atom_site_label
_atom_site_type_symbol
_atom_site_fract_x
_atom_site_fract_y
_atom_site_fract_z
_atom_site_occupancy
Ca1 Ca 0.0235 0.2500 0.1696 1
Ca2 Ca 0.1483 0.2500 0.5672 1
Cu1 Cu 0.2402 0.7500 0.3753 1
# Formation enthalpy at 0 K (meV per atom): -19
# Crystal system: orthorhombic
# N(E_F) (states/eV per atom): 0.7558

# PBEsol Li2TaTe, optimized geometry
data_Li2TaTe
_space_group_name_H-M_alt 'C m m 2'
_space_group_IT_number 35
_cell_length_a 3.5622
_cell_length_b 5.0603
_cell_length_c 9.2241
_cell_angle_alpha 90.00
_cell_angle_beta 90.00
_cell_angle_gamma 90.00
loop_
_space_group_symop_operation_xyz
'x,y,z'
'-x,-y,z'
'-x,y,z'
'x,-y,z'
'x+1/2,y+1/2,z'
'-x+1/2,-y+1/2,z'
'-x+1/2,y+1/2,z'
'x+1/2,-y+1/2,z'
loop_
_atom_site_label
_atom_site_type_symbol
_atom_site_fract_x
_atom_site_fract_y
_atom_site_fract_z
_atom_site_occupancy
Li1 Li 0.0000 0.0000 0.0000 1
Li2 Li 0.0000 0.5000 0.2708 1
Ta1 Ta 0.0000 0.0000 0.5168 1
Te1 Te 0.0000 0.5000 0.7432 1
# Crystal system: orthorhombic
# Formation energy from raw total energies (eV/atom): 0.23
# N(E_F) (states/eV per atom): 0.7411

| no. | calculated volume (Å³/cell) |
| --- | --- |
| 1 | 248 |
| 2 | 145 |
| 3 | 233 |
| 4 | 562 |
| 5 | 915 |
| 6 | 62 |
| 7 | 482 |
| 8 | 134 |
| 9 | 828 |
| 10 | 323 |
| 11 | 166 |